# 1
Compound: PrSnTe3
Source: Alexandria
Functional: PBE
Structure: optimized geometry

a b c (Å): 9.672 9.672 8.480
angles (deg): 104.82 104.82 27.92
Positions (direct):
Pr1 0.220 0.220 0.250
Pr2 0.780 0.780 0.750
Sn1 0.457 0.457 0.299
Sn2 0.543 0.543 0.701
Te1 0.035 0.035 0.171
Te2 0.163 0.163 0.577
Te3 0.334 0.334 0.012
Te4 0.666 0.666 0.988
Te5 0.837 0.837 0.423
Te6 0.965 0.965 0.829

## Properties
V   358 Å³ per cell
Raw formation energy   -0.797 eV/atom
SG   C2/m, No. 12
Uncorrected energy   -0.163 Ha/atom
DOS at the Fermi energy   0.036 states/eV per atom

=====

# 2
Compound: CrGaI3
Source: Alexandria
Functional: PBE
Structure: optimized geometry

a b c (Å): 5.686 5.686 5.686
angles (deg): 90.00 90.00 90.00
Positions (direct):
Cr1 0.000 0.000 0.000
Ga1 0.500 0.500 0.500
I1 0.000 0.500 0.500
I2 0.500 0.000 0.500
I3 0.500 0.500 0.000

## Properties
V   184 Å³ per cell
Raw formation energy   0.289 eV/atom
SG   Pm-3m, No. 221
Uncorrected energy   -0.117 Ha/atom
Polymorph energy (0 for the lowest one)   44.3 kJ/mol of atoms
DOS at the Fermi energy   0.424 states/eV per atom

=====

# 3
Compound: Mg4As2H
Source: Alexandria
Functional: PBE
Structure: optimized geometry

a b c (Å): 7.765 7.765 7.765
angles (deg): 149.16 149.16 44.18
Positions (direct):
Mg1 0.000 0.500 0.500
Mg2 0.179 0.179 0.000
Mg3 0.500 0.000 0.500
Mg4 0.821 0.821 0.000
As1 0.366 0.366 0.000
As2 0.634 0.634 0.000
H1 0.000 0.000 0.000

## Properties
V   123 Å³ per cell
SG   I4/mmm, No. 139
Uncorrected energy   -0.114 Ha/atom
DOS at the Fermi energy   0.254 states/eV per atom

=====

# 4
Compound: BaSiCl3
Source: Alexandria
Functional: PBE
Structure: optimized geometry

a b c (Å): 5.971 5.971 5.971
angles (deg): 90.00 90.00 90.00
Positions (direct):
Ba1 0.000 0.000 0.000
Si1 0.500 0.500 0.500
Cl1 0.000 0.000 0.500
Cl2 0.000 0.500 0.000
Cl3 0.500 0.000 0.000

## Properties
V   213 Å³ per cell
Raw formation energy   -0.746 eV/atom
SG   Pm-3m, No. 221
Uncorrected energy   -0.122 Ha/atom
Polymorph energy (0 for the lowest one)   29.1 kJ/mol of atoms
DOS at the Fermi energy   1.369 states/eV per atom

=====

# 5
Compound: NdScTe
Source: Alexandria
Functional: PBE
Structure: optimized geometry

a b c (Å): 9.735 9.735 9.555
angles (deg): 91.83 91.83 23.85
Positions (direct):
Nd1 0.076 0.076 0.400
Nd2 0.422 0.422 0.194
Nd3 0.578 0.578 0.806
Nd4 0.924 0.924 0.600
Sc1 0.188 0.188 0.033
Sc2 0.255 0.255 0.715
Sc3 0.745 0.745 0.285
Sc4 0.812 0.812 0.967
Te1 0.326 0.326 0.444
Te2 0.410 0.410 0.857
Te3 0.590 0.590 0.143
Te4 0.674 0.674 0.556

## Properties
V   366 Å³ per cell
Raw formation energy   -0.728 eV/atom
SG   C2/m, No. 12
Uncorrected energy   -0.201 Ha/atom
Polymorph energy (0 for the lowest one)   19.9 kJ/mol of atoms
DOS at the Fermi energy   1.220 states/eV per atom

=====

# 6
Compound: PuZnCl6
Source: Alexandria
Functional: PBE
Structure: optimized geometry

a b c (Å): 6.918 6.918 6.462
angles (deg): 94.21 94.21 115.62
Positions (direct):
Pu1 0.000 0.000 0.000
Zn1 0.000 0.000 0.500
Cl1 0.010 0.718 0.241
Cl2 0.271 0.271 0.305
Cl3 0.282 0.990 0.759
Cl4 0.718 0.010 0.241
Cl5 0.729 0.729 0.695
Cl6 0.990 0.282 0.759

## Properties
V   276 Å³ per cell
Raw formation energy   -1.400 eV/atom
SG   C2/m, No. 12
Uncorrected energy   -0.174 Ha/atom
Polymorph energy (0 for the lowest one)   0.0 kJ/mol of atoms
DOS at the Fermi energy   1.227 states/eV per atom

=====

# 7
Compound: Ba3NaY
Source: Alexandria
Functional: PBE
Structure: optimized geometry

a b c (Å): 6.531 6.531 6.531
angles (deg): 90.00 90.00 90.00
Positions (direct):
Ba1 0.000 0.000 0.500
Ba2 0.000 0.500 0.000
Ba3 0.500 0.000 0.000
Na1 0.000 0.000 0.000
Y1 0.500 0.500 0.500

## Properties
V   279 Å³ per cell
ΔE_f   0.568 eV per atom
SG   Pm-3m, No. 221
Uncorrected energy   -0.079 Ha/atom
Polymorph energy (0 for the lowest one)   3.6 kJ/mol of atoms
DOS at the Fermi energy   2.637 states/eV per atom

=====

# 8
Compound: BTePd2
Source: Alexandria
Functional: PBE
Structure: optimized geometry

a b c (Å): 7.026 7.026 7.026
angles (deg): 138.19 138.19 60.61
Positions (direct):
B1 0.000 0.000 0.000
B2 0.750 0.250 0.500
Te1 0.250 0.750 0.500
Te2 0.500 0.500 0.000
Pd1 0.017 0.625 0.892
Pd2 0.375 0.267 0.392
Pd3 0.733 0.125 0.108
Pd4 0.875 0.983 0.608

## Properties
V   152 Å³ per cell
Raw formation energy   0.101 eV/atom
SG   I-42d, No. 122
Uncorrected energy   -0.182 Ha/atom
Polymorph energy (0 for the lowest one)   0.0 kJ/mol of atoms
DOS at the Fermi energy   0.548 states/eV per atom

=====

# 9
Compound: KRb2Sn2
Source: Alexandria
Functional: PBE
Structure: optimized geometry

a b c (Å): 14.734 14.734 14.734
angles (deg): 163.06 163.06 24.04
Positions (direct):
K1 0.000 0.000 0.000
Rb1 0.362 0.362 0.000
Rb2 0.638 0.638 0.000
Sn1 0.250 0.750 0.500
Sn2 0.750 0.250 0.500

## Properties
V   271 Å³ per cell
ΔE_f   0.004 eV per atom
SG   I4/mmm, No. 139
Uncorrected energy   -0.081 Ha/atom
Polymorph energy (0 for the lowest one)   13.1 kJ/mol of atoms
DOS at the Fermi energy   0.814 states/eV per atom

=====

# 10
Compound: BaBeW2
Source: Alexandria
Functional: PBE
Structure: optimized geometry

a b c (Å): 3.999 3.999 4.997
angles (deg): 90.00 90.00 90.00
Positions (direct):
Ba1 0.000 0.000 0.000
Be1 0.500 0.500 0.000
W1 0.000 0.500 0.500
W2 0.500 0.000 0.500

## Properties
V   80 Å³ per cell
ΔE_f   1.691 eV per atom
SG   P4/mmm, No. 123
Uncorrected energy   -0.228 Ha/atom
DOS at the Fermi energy   0.944 states/eV per atom

=====

# 11
Compound: Sm2PaCo9
Source: Alexandria
Functional: PBE
Structure: optimized geometry

a b c (Å): 8.845 8.845 8.845
angles (deg): 32.28 32.28 32.28
Positions (direct):
Sm1 0.140 0.140 0.140
Sm2 0.860 0.860 0.860
Pa1 0.000 0.000 0.000
Co1 0.080 0.579 0.579
Co2 0.333 0.333 0.333
Co3 0.421 0.421 0.920
Co4 0.421 0.920 0.421
Co5 0.500 0.500 0.500
Co6 0.579 0.080 0.579
Co7 0.579 0.579 0.080
Co8 0.667 0.667 0.667
Co9 0.920 0.421 0.421

## Properties
V   175 Å³ per cell
ΔE_f   -0.133 eV per atom
SG   R-3m, No. 166
Uncorrected energy   -0.259 Ha/atom
DOS at the Fermi energy   1.380 states/eV per atom

=====

# 12
Compound: ErTh2U2Ru5
Source: Alexandria
Functional: PBE
Structure: optimized geometry

a b c (Å): 10.784 10.784 3.592
angles (deg): 90.00 90.00 90.00
Positions (direct):
Er1 0.000 0.000 0.000
Er2 0.500 0.500 0.000
Th1 0.179 0.321 0.000
Th2 0.321 0.821 0.000
Th3 0.679 0.179 0.000
Th4 0.821 0.679 0.000
U1 0.134 0.634 0.000
U2 0.366 0.134 0.000
U3 0.634 0.866 0.000
U4 0.866 0.366 0.000
Ru1 0.000 0.500 0.500
Ru2 0.046 0.785 0.500
Ru3 0.215 0.046 0.500
Ru4 0.285 0.546 0.500
Ru5 0.454 0.285 0.500
Ru6 0.500 0.000 0.500
Ru7 0.546 0.715 0.500
Ru8 0.715 0.454 0.500
Ru9 0.785 0.954 0.500
Ru10 0.954 0.215 0.500

## Properties
V   418 Å³ per cell
ΔE_f   -0.231 eV per atom
SG   P4/mbm, No. 127
Uncorrected energy   -0.333 Ha/atom
DOS at the Fermi energy   1.113 states/eV per atom

=====

# 13
Compound: BeVI2N
Source: Alexandria
Functional: PBE
Structure: optimized geometry

a b c (Å): 5.472 5.472 3.665
angles (deg): 90.00 90.00 90.00
Positions (direct):
Be1 0.000 0.000 0.000
V1 0.500 0.500 0.500
I1 0.000 0.500 0.500
I2 0.500 0.000 0.500
N1 0.500 0.500 0.000

## Properties
V   110 Å³ per cell
Raw formation energy   0.517 eV/atom
SG   P4/mmm, No. 123
Uncorrected energy   -0.159 Ha/atom
Polymorph energy (0 for the lowest one)   0.0 kJ/mol of atoms
DOS at the Fermi energy   0.473 states/eV per atom

=====

# 14
Compound: PrHfAl
Source: Alexandria
Functional: PBE
Structure: optimized geometry

a b c (Å): 3.289 3.289 15.824
angles (deg): 90.00 90.00 120.00
Positions (direct):
Pr1 0.000 0.000 0.176
Pr2 0.000 0.000 0.824
Hf1 0.333 0.667 0.354
Hf2 0.333 0.667 0.646
Al1 0.000 0.000 0.500
Al2 0.333 0.667 0.000

## Properties
V   148 Å³ per cell
ΔE_f   0.088 eV per atom
SG   P-6m2, No. 187
Uncorrected energy   -0.223 Ha/atom
Polymorph energy (0 for the lowest one)   16.0 kJ/mol of atoms
DOS at the Fermi energy   0.992 states/eV per atom

=====

# 15
Compound: ZnTc4Br
Source: Alexandria
Functional: PBE
Structure: optimized geometry

a b c (Å): 5.207 5.207 5.207
angles (deg): 60.00 60.00 60.00
Positions (direct):
Zn1 0.000 0.000 0.000
Tc1 0.376 0.376 0.376
Tc2 0.376 0.376 0.872
Tc3 0.376 0.872 0.376
Tc4 0.872 0.376 0.376
Br1 0.750 0.750 0.750

## Properties
V   100 Å³ per cell
Raw formation energy   0.873 eV/atom
SG   F-43m, No. 216
Uncorrected energy   -0.240 Ha/atom
DOS at the Fermi energy   0.806 states/eV per atom

=====

# 16
Compound: NdSi2Ru3
Source: Alexandria
Functional: PBE
Structure: optimized geometry

a b c (Å): 5.663 5.663 3.596
angles (deg): 90.00 90.00 120.00
Positions (direct):
Nd1 0.000 0.000 0.000
Si1 0.333 0.667 0.000
Si2 0.667 0.333 0.000
Ru1 0.000 0.500 0.500
Ru2 0.500 0.000 0.500
Ru3 0.500 0.500 0.500

## Properties
V   100 Å³ per cell
Raw formation energy   -0.646 eV/atom
SG   P6/mmm, No. 191
Uncorrected energy   -0.290 Ha/atom
DOS at the Fermi energy   1.021 states/eV per atom

=====

# 17
Compound: PaMn2Tl2S4
Source: Alexandria
Functional: PBE
Structure: optimized geometry

a b c (Å): 7.579 7.579 7.727
angles (deg): 107.70 107.70 30.00
Positions (direct):
Pa1 0.000 0.000 0.000
Mn1 0.326 0.326 0.040
Mn2 0.674 0.674 0.960
Tl1 0.146 0.146 0.581
Tl2 0.854 0.854 0.419
S1 0.192 0.192 0.151
S2 0.485 0.485 0.235
S3 0.515 0.515 0.765
S4 0.808 0.808 0.849

## Properties
V   211 Å³ per cell
Raw formation energy   -0.776 eV/atom
SG   C2/m, No. 12
Uncorrected energy   -0.229 Ha/atom
DOS at the Fermi energy   0.517 states/eV per atom

=====

# 18
Compound: Sr2AgIr
Source: Alexandria
Functional: PBE
Structure: optimized geometry

a b c (Å): 6.618 6.618 6.618
angles (deg): 148.06 134.73 56.47
Positions (direct):
Sr1 0.000 0.000 0.000
Sr2 0.701 0.201 0.500
Ag1 0.295 0.795 0.500
Ir1 0.477 0.477 0.000

## Properties
V   108 Å³ per cell
ΔE_f   -0.009 eV per atom
SG   Imm2, No. 44
Uncorrected energy   -0.139 Ha/atom
DOS at the Fermi energy   0.425 states/eV per atom

=====

# 19
Compound: BaGe3IrRh
Source: Alexandria
Functional: PBE
Structure: optimized geometry

a b c (Å): 7.107 7.107 6.606
angles (deg): 90.00 90.00 124.32
Positions (direct):
Ba1 0.247 0.753 0.750
Ba2 0.753 0.247 0.250
Ge1 0.228 0.772 0.250
Ge2 0.276 0.276 0.000
Ge3 0.276 0.276 0.500
Ge4 0.724 0.724 0.000
Ge5 0.724 0.724 0.500
Ge6 0.772 0.228 0.750
Ir1 0.410 0.590 0.250
Ir2 0.590 0.410 0.750
Rh1 0.047 0.953 0.250
Rh2 0.953 0.047 0.750

## Properties
V   276 Å³ per cell
ΔE_f   -0.458 eV per atom
SG   Cmcm, No. 63
Uncorrected energy   -0.213 Ha/atom
DOS at the Fermi energy   0.508 states/eV per atom

=====

# 20
Compound: Cs2HoAgCl6
Source: Alexandria
Functional: PBE
Structure: optimized geometry

a b c (Å): 7.631 10.897 7.630
angles (deg): 90.00 90.00 90.00
Positions (direct):
Cs1 0.250 0.000 0.250
Cs2 0.250 0.500 0.250
Cs3 0.750 0.000 0.750
Cs4 0.750 0.500 0.750
Ho1 0.250 0.250 0.749
Ho2 0.750 0.750 0.251
Ag1 0.250 0.750 0.751
Ag2 0.750 0.250 0.249
Cl1 0.006 0.250 0.505
Cl2 0.006 0.250 0.993
Cl3 0.250 0.009 0.750
Cl4 0.250 0.491 0.750
Cl5 0.494 0.250 0.505
Cl6 0.494 0.250 0.993
Cl7 0.506 0.750 0.007
Cl8 0.506 0.750 0.495
Cl9 0.750 0.509 0.250
Cl10 0.750 0.991 0.250
Cl11 0.994 0.750 0.007
Cl12 0.994 0.750 0.495

## Properties
V   634 Å³ per cell
Raw formation energy   -1.858 eV/atom
SG   Pmmn, No. 59
Uncorrected energy   -0.143 Ha/atom
DOS at the Fermi energy   0.000 states/eV per atom